(i)
First-principles (PBE) data for an optimized crystal structure of NbCu3Br, as listed in Alexandria.

```
5
Lattice="4.574 0.000 0.000 0.000 4.574 0.000 0.000 0.000 4.574" Properties=species:S:1:pos:R:3 pbc="T T T"
Nb 0.000 0.000 0.000
Cu 0.000 2.287 2.287
Cu 2.287 0.000 2.287
Cu 2.287 2.287 0.000
Br 2.287 2.287 2.287
```

(ii)
First-principles (PBE) data for an optimized crystal structure of NbCu3Br, as listed in Alexandria.

```
5
Lattice="4.916 0.000 0.000 0.000 4.916 0.000 0.000 0.000 4.916" Properties=species:S:1:pos:R:3 pbc="T T T"
Nb 0.000 0.000 0.000
Cu 0.000 0.000 2.458
Cu 0.000 2.458 0.000
Cu 2.458 0.000 0.000
Br 2.458 2.458 2.458
```

Most stable structure - (i); separation to the second - 0.027 eV/atom.